w.
First-principles (PBE-GGA) data for a relaxed structure of ZnWI2, as listed in Alexandria.

CIF file:
```
data_ZnWI2
_cell_length_a 4.9408
_cell_length_b 4.9408
_cell_length_c 4.9408
_cell_angle_alpha 60.00
_cell_angle_beta 60.00
_cell_angle_gamma 60.00
_space_group_name_H-M_alt 'P 1'
_space_group_IT_number 1
loop_
_space_group_symop_operation_xyz
'x,y,z'
loop_
_atom_site_label
_atom_site_fract_x
_atom_site_fract_y
_atom_site_fract_z
Zn1 0.0000 0.0000 0.0000
W1 0.5000 0.5000 0.5000
I1 0.2500 0.2500 0.2500
I2 0.7500 0.7500 0.7500
```

x.
First-principles (PBE-GGA) data for a relaxed structure of ZnWI2, as listed in Alexandria.

CIF file:
```
data_ZnWI2
_cell_length_a 7.3580
_cell_length_b 7.3580
_cell_length_c 7.3580
_cell_angle_alpha 97.36
_cell_angle_beta 97.36
_cell_angle_gamma 138.06
_space_group_name_H-M_alt 'P 1'
_space_group_IT_number 1
loop_
_space_group_symop_operation_xyz
'x,y,z'
loop_
_atom_site_label
_atom_site_fract_x
_atom_site_fract_y
_atom_site_fract_z
Zn1 0.0000 0.0000 0.0000
Zn2 0.7500 0.2500 0.5000
W1 0.2500 0.7500 0.5000
W2 0.5000 0.5000 0.0000
I1 0.2736 0.6250 0.1486
I2 0.3750 0.5236 0.6486
I3 0.4764 0.1250 0.8514
I4 0.8750 0.7264 0.3514
```

Most stable: x. Least stable: w.

w.
First-principles (PBE-GGA) data for a relaxed structure of ZrW2I, as listed in Alexandria.

CIF file:
```
data_ZrW2I
_cell_length_a 4.7558
_cell_length_b 4.7558
_cell_length_c 4.7558
_cell_angle_alpha 60.00
_cell_angle_beta 60.00
_cell_angle_gamma 60.00
_space_group_name_H-M_alt 'P 1'
_space_group_IT_number 1
loop_
_space_group_symop_operation_xyz
'x,y,z'
loop_
_atom_site_label
_atom_site_fract_x
_atom_site_fract_y
_atom_site_fract_z
Zr1 0.0000 0.0000 0.0000
W1 0.2500 0.2500 0.2500
W2 0.7500 0.7500 0.7500
I1 0.5000 0.5000 0.5000
```

x.
First-principles (PBE-GGA) data for a relaxed structure of ZrW2I, as listed in Alexandria.

CIF file:
```
data_ZrW2I
_cell_length_a 11.1647
_cell_length_b 11.1647
_cell_length_c 11.1647
_cell_angle_alpha 159.77
_cell_angle_beta 159.77
_cell_angle_gamma 28.77
_space_group_name_H-M_alt 'P 1'
_space_group_IT_number 1
loop_
_space_group_symop_operation_xyz
'x,y,z'
loop_
_atom_site_label
_atom_site_fract_x
_atom_site_fract_y
_atom_site_fract_z
Zr1 0.0000 0.0000 0.0000
Zr2 0.7500 0.2500 0.5000
W1 0.1103 0.6250 0.9853
W2 0.3750 0.3603 0.4853
W3 0.6397 0.1250 0.0147
W4 0.8750 0.8897 0.5147
I1 0.2500 0.7500 0.5000
I2 0.5000 0.5000 0.0000
```

Most stable: x. Least stable: w.

w.
First-principles (PBE-GGA) data for a relaxed structure of ZrWI2, as listed in Alexandria.

CIF file:
```
data_ZrWI2
_cell_length_a 7.3193
_cell_length_b 7.3193
_cell_length_c 7.3193
_cell_angle_alpha 126.34
_cell_angle_beta 126.34
_cell_angle_gamma 79.33
_space_group_name_H-M_alt 'P 1'
_space_group_IT_number 1
loop_
_space_group_symop_operation_xyz
'x,y,z'
loop_
_atom_site_label
_atom_site_fract_x
_atom_site_fract_y
_atom_site_fract_z
Zr1 0.0000 0.0000 0.0000
Zr2 0.7500 0.2500 0.5000
W1 0.2500 0.7500 0.5000
W2 0.5000 0.5000 0.0000
I1 0.1536 0.6250 0.0286
I2 0.3750 0.4036 0.5286
I3 0.5964 0.1250 0.9714
I4 0.8750 0.8464 0.4714
```

x.
First-principles (PBE-GGA) data for a relaxed structure of ZrWI2, as listed in Alexandria.

CIF file:
```
data_ZrWI2
_cell_length_a 4.9332
_cell_length_b 4.9332
_cell_length_c 4.9332
_cell_angle_alpha 60.00
_cell_angle_beta 60.00
_cell_angle_gamma 60.00
_space_group_name_H-M_alt 'P 1'
_space_group_IT_number 1
loop_
_space_group_symop_operation_xyz
'x,y,z'
loop_
_atom_site_label
_atom_site_fract_x
_atom_site_fract_y
_atom_site_fract_z
Zr1 0.0000 0.0000 0.0000
W1 0.5000 0.5000 0.5000
I1 0.2500 0.2500 0.2500
I2 0.7500 0.7500 0.7500
```

Most stable: x. Least stable: w.